A relaxed KV2SeO7 crystal, computed with PBE with a Hubbard U.

Lattice parameters (Å, degrees): 18.789 5.529 7.071 90.00 90.00 90.00
Element x y z (fractional)
1 K 0.028 0.250 0.247
2 K 0.472 0.750 0.747
3 K 0.528 0.250 0.253
4 K 0.972 0.750 0.753
5 V 0.121 0.250 0.739
6 V 0.191 0.750 0.453
7 V 0.309 0.250 0.953
8 V 0.379 0.750 0.239
9 V 0.621 0.250 0.761
10 V 0.691 0.750 0.047
11 V 0.809 0.250 0.547
12 V 0.879 0.750 0.261
13 Se 0.149 0.750 0.986
14 Se 0.351 0.250 0.486
15 Se 0.649 0.750 0.514
16 Se 0.851 0.250 0.014
17 O 0.042 0.250 0.636
18 O 0.094 0.512 0.937
19 O 0.094 0.988 0.937
20 O 0.136 0.750 0.235
21 O 0.170 0.003 0.581
22 O 0.170 0.497 0.581
23 O 0.221 0.250 0.898
24 O 0.279 0.750 0.398
25 O 0.330 0.503 0.081
26 O 0.330 0.997 0.081
27 O 0.364 0.250 0.735
28 O 0.406 0.012 0.437
29 O 0.406 0.488 0.437
30 O 0.458 0.750 0.136
31 O 0.542 0.250 0.864
32 O 0.594 0.512 0.563
33 O 0.594 0.988 0.563
34 O 0.636 0.750 0.265
35 O 0.670 0.003 0.919
36 O 0.670 0.497 0.919
37 O 0.721 0.250 0.602
38 O 0.779 0.750 0.102
39 O 0.830 0.503 0.419
40 O 0.830 0.997 0.419
41 O 0.864 0.250 0.765
42 O 0.906 0.012 0.063
43 O 0.906 0.488 0.063
44 O 0.958 0.750 0.364

Calculated values
As for the uncorrected energy: -290.639 eV per cell. As for the symmetry: Pnma (62).